DFT (GGA-PBE) results for NaTl3In12 after structural relaxation.

Lattice parameters (Å, degrees): 4.655 4.655 20.293 90.00 90.00 90.00
Element x y z (fractional)
Na (0.000, 0.000, 0.000)
Tl (0.000, 0.000, 0.245)
Tl (0.000, 0.000, 0.500)
Tl (0.000, 0.000, 0.755)
In (0.000, 0.500, 0.119)
In (0.000, 0.500, 0.374)
In (0.000, 0.500, 0.626)
In (0.000, 0.500, 0.881)
In (0.500, 0.000, 0.119)
In (0.500, 0.000, 0.374)
In (0.500, 0.000, 0.626)
In (0.500, 0.000, 0.881)
In (0.500, 0.500, 0.000)
In (0.500, 0.500, 0.240)
In (0.500, 0.500, 0.500)
In (0.500, 0.500, 0.760)

Calculated values
Density of states at the Fermi level in states/eV per cell: 10.1
Total DFT energy (no corrections) in Ha/atom: -0.09444
Symmetry: P4/mmm (123)
Magnetic moment in μB/f.u.: 0.0
ΔE_f in kJ/mol of formula units: 15



DFT (GGA-PBE) results for Na2Tl5In3 after structural relaxation.

Lattice parameters (Å, degrees): 5.039 6.435 10.251 92.56 90.31 112.60
Element x y z (fractional)
Na (0.050, 0.104, 0.285)
Na (0.950, 0.896, 0.715)
Tl (0.161, 0.320, 0.974)
Tl (0.334, 0.673, 0.244)
Tl (0.500, 0.000, 0.500)
Tl (0.666, 0.327, 0.756)
Tl (0.839, 0.680, 0.026)
In (0.246, 0.492, 0.597)
In (0.500, 0.000, 0.000)
In (0.754, 0.508, 0.403)

Calculated values
Density of states at the Fermi level in states/eV per cell: 4.1
Total DFT energy (no corrections) in Ha/atom: -0.08327
Symmetry: P-1 (2)
Magnetic moment in μB/f.u.: 0.0
ΔE_f in kJ/mol of formula units: 2
Offset from the most stable computed form in eV per atom: 0.000